Record 1
TcOsW2F | GGA+U | optimized geometry

## Properties
**Fermi-level density of states**: 5.10 states/eV per cell

Unit cell a=4.2216 b=4.1405 c=4.2216 alpha=90.00 beta=90.00 gamma=90.00
Sites, in units of the cell vectors:
1 Os 0.5000 0.5000 0.5000
2 Tc 0.0000 0.5000 0.0000
3 W 0.0000 0.0000 0.5000
4 W 0.5000 0.0000 0.0000
5 F 0.0000 0.0000 0.0000

Record 2
Li2NiP4O12 | GGA+U | optimized geometry

## Properties
**Fermi-level density of states**: 0.00 states/eV per cell

Unit cell a=4.7615 b=8.4815 c=10.7676 alpha=89.21 beta=90.02 gamma=90.01
Sites, in units of the cell vectors:
1 Li 0.4333 0.0732 0.9565
2 Li 0.4802 0.9678 0.4699
3 Li 0.5665 0.5732 0.4564
4 Li 0.5200 0.4677 0.9698
5 Ni 0.5078 0.2540 0.6775
6 Ni 0.4923 0.7539 0.1774
7 P 0.9951 0.0020 0.2734
8 P 0.0013 0.2617 0.4562
9 P 0.0065 0.2321 0.0685
10 P 0.9823 0.4938 0.2404
11 P 0.0049 0.5019 0.7734
12 P 0.9987 0.7617 0.9562
13 P 0.9935 0.7321 0.5685
14 P 0.0177 0.9938 0.7404
15 O 0.7737 0.0723 0.6776
16 O 0.2579 0.0892 0.7903
17 O 0.1407 0.1284 0.1818
18 O 0.8574 0.1177 0.3799
19 O 0.2569 0.1927 0.5201
20 O 0.7919 0.1407 0.0012
21 O 0.7725 0.3464 0.5258
22 O 0.2590 0.2953 0.0020
23 O 0.8437 0.3714 0.1435
24 O 0.1137 0.3785 0.3469
25 O 0.7680 0.4044 0.8257
26 O 0.2520 0.4287 0.7130
27 O 0.7421 0.5891 0.2902
28 O 0.2262 0.5724 0.1776
29 O 0.1426 0.6177 0.8800
30 O 0.8593 0.6284 0.6818
31 O 0.2081 0.6407 0.5013
32 O 0.7430 0.6926 0.0200
33 O 0.2276 0.8464 0.0258
34 O 0.7410 0.7952 0.5019
35 O 0.8863 0.8785 0.8469
36 O 0.1563 0.8714 0.6435
37 O 0.2320 0.9045 0.3258
38 O 0.7481 0.9287 0.2130

Here are the calculated total DFT energy (no corrections) numbers, same order: -6.4167; -6.6784 (eV/atom).